1.
A geometry-optimized Np2ScS3 structure, computed with PBE.

Output
As for the magnetic moment: 16.60 μB per cell. As for the raw formation energy: -1.484 eV/atom.

Cell: 3.810 3.810 19.151 Å, 90.00 90.00 120.00°
Each line ends with the local moment (μB).
Fractional positions:
Np (0.333, 0.667, 0.915)  3.89
Np (0.667, 0.333, 0.085)  3.89
Np (0.667, 0.333, 0.415)  3.89
Np (0.333, 0.667, 0.585)  3.89
Sc (0.000, 0.000, 0.250)  -0.01
Sc (0.000, 0.000, 0.750)  -0.01
S (0.000, 0.000, 0.000)  -0.10
S (0.333, 0.667, 0.170)  -0.05
S (0.333, 0.667, 0.330)  -0.05
S (0.000, 0.000, 0.500)  -0.10
S (0.667, 0.333, 0.670)  -0.05
S (0.667, 0.333, 0.830)  -0.05


2.
A geometry-optimized AgOs2Pt structure, computed with PBE.

Output
Its formation energy is 0.21 eV per atom. As for the magnetic moment: 0.00 μB per cell.

Cell: 2.789 2.789 7.985 Å, 90.00 90.00 90.00°
Fractional positions:
Os (0.000, 0.000, 0.025)
Os (0.500, 0.500, 0.236)
Ag (0.500, 0.500, 0.754)
Pt (0.000, 0.000, 0.485)


Number 1: mass density 8.49 g/cm3. Number 2: mass density 18.27 g/cm3.